1.
A plane-wave DFT calculation with PBE was carried out for a relaxed MgFeCoW crystal.

abc: 5.9468 5.9468 5.9468
angles: 90.00 90.00 90.00
Space group F-43m (No. 216)
Symmetry-distinct sites (fractional):
Mg 0.0000 0.0000 0.0000 (multiplicity 4)
Fe 0.2500 0.2500 0.2500 (multiplicity 4)
Co 0.2500 0.2500 0.7500 (multiplicity 4)
W 0.0000 0.0000 0.5000 (multiplicity 4)

Results
Magnetic moment = 4.1 μB/cell
Electronic total energy = -7.397 eV per atom
Density of states at the Fermi level = 0.55 states/eV/atom
ΔE_f = 3.1 kcal/mol of atoms

2.
A plane-wave DFT calculation with PBE was carried out for a relaxed CsLaI crystal.

abc: 18.2734 4.3119 7.3773
angles: 90.00 90.00 90.00
Space group Amm2 (No. 38)
Symmetry-distinct sites (fractional):
Cs 0.1515 0.0000 0.0000 (multiplicity 4)
La 0.3787 0.0000 0.5586 (multiplicity 4)
I 0.0000 0.0000 0.6635 (multiplicity 2)
I 0.5000 0.0000 0.8936 (multiplicity 2)

Results
Magnetic moment = 2.7 μB/cell
Electronic total energy = -2.951 eV per atom
Density of states at the Fermi level = 1.13 states/eV/atom

3.
A plane-wave DFT calculation with PBE was carried out for a relaxed SmHoIrAu crystal.

abc: 3.5455 3.5455 7.1063
angles: 90.00 90.00 90.00
Space group P4mm (No. 99)
Symmetry-distinct sites (fractional):
Sm 0.0000 0.0000 0.0000 (multiplicity 1)
Ho 0.0000 0.0000 0.5337 (multiplicity 1)
Ir 0.5000 0.5000 0.7582 (multiplicity 1)
Au 0.5000 0.5000 0.2817 (multiplicity 1)

Results
Magnetic moment = 0.0 μB/cell
Electronic total energy = -6.156 eV per atom
Density of states at the Fermi level = 0.96 states/eV/atom
ΔE_f = -18.4 kcal/mol of atoms

4.
A plane-wave DFT calculation with PBE was carried out for a relaxed MnMo2Cl8 crystal.

abc: 12.8178 10.2667 5.1010
angles: 90.00 90.22 90.00
Space group C2/m (No. 12)
Symmetry-distinct sites (fractional):
Mn 0.0000 0.0000 0.0000 (multiplicity 2)
Mo 0.2032 0.0000 0.2456 (multiplicity 4)
Cl 0.0897 0.1783 0.2454 (multiplicity 8)
Cl 0.1191 0.5000 0.7446 (multiplicity 4)
Cl 0.1835 0.0000 0.7477 (multiplicity 4)

Results
Magnetic moment = 18.0 μB/cell
Electronic total energy = -4.762 eV per atom
Density of states at the Fermi level = 0.28 states/eV/atom

5.
A plane-wave DFT calculation with PBE was carried out for a relaxed TbEr5Ru6 crystal.

abc: 15.0482 6.7641 4.7814
angles: 90.00 108.39 90.00
Space group C2/m (No. 12)
Symmetry-distinct sites (fractional):
Tb 0.0000 0.0000 0.0000 (multiplicity 2)
Er 0.0000 0.5000 0.0000 (multiplicity 2)
Er 0.1675 0.0000 0.6675 (multiplicity 4)
Er 0.1666 0.5000 0.6666 (multiplicity 4)
Ru 0.0000 0.2512 0.5000 (multiplicity 4)
Ru 0.1672 0.2505 0.1672 (multiplicity 8)

Results
Magnetic moment = 0.0 μB/cell
Electronic total energy = -7.292 eV per atom
Density of states at the Fermi level = 1.10 states/eV/atom
ΔE_f = -8.5 kcal/mol of atoms

6.
A plane-wave DFT calculation with PBE was carried out for a relaxed PdWSCl2 crystal.

abc: 4.6916 4.6916 4.9276
angles: 90.00 90.00 90.00
Space group P4/mmm (No. 123)
Symmetry-distinct sites (fractional):
Pd 0.0000 0.0000 0.0000 (multiplicity 1)
W 0.5000 0.5000 0.5000 (multiplicity 1)
S 0.0000 0.0000 0.5000 (multiplicity 1)
Cl 0.0000 0.5000 0.0000 (multiplicity 2)

Results
Magnetic moment = 4.0 μB/cell
Electronic total energy = -4.196 eV per atom
Density of states at the Fermi level = 1.23 states/eV/atom

7.
A plane-wave DFT calculation with PBE was carried out for a relaxed KAsF3 crystal.

abc: 4.6765 4.6765 4.6765
angles: 90.00 90.00 90.00
Space group Pm-3m (No. 221)
Symmetry-distinct sites (fractional):
K 0.0000 0.0000 0.0000 (multiplicity 1)
As 0.5000 0.5000 0.5000 (multiplicity 1)
F 0.0000 0.0000 0.5000 (multiplicity 3)

Results
Magnetic moment = 1.0 μB/cell
Electronic total energy = -3.052 eV per atom
Density of states at the Fermi level = 0.57 states/eV/atom

8.
A plane-wave DFT calculation with PBE was carried out for a relaxed LiMn2Te crystal.

abc: 3.8870 3.8870 8.4240
angles: 90.00 90.00 90.00
Space group I4/mmm (No. 139)
Symmetry-distinct sites (fractional):
Li 0.0000 0.0000 0.0000 (multiplicity 2)
Mn 0.0000 0.5000 0.2500 (multiplicity 4)
Te 0.0000 0.0000 0.5000 (multiplicity 2)

Results
Magnetic moment = 13.2 μB/cell
Electronic total energy = -5.775 eV per atom
Density of states at the Fermi level = 0.71 states/eV/atom

- Which value of density of states at the Fermi level does entry 4 give?
  0.28 states/eV/atom